[1]
Sc2PbW, optimized geometry, DFT PBE; formation energy from the elements = 116 meV/atom; space group = No. 123; density of states at the Fermi level = 1.125 states/eV per atom; electronic total energy = -28.860 eV for the cell shown
1.0
-1.070 -0.682 -3.600
2.702 -3.767 -0.090
-3.537 -2.573 1.539
Sc Pb W
2 1 1
Direct
0.000 0.500 0.500
0.000 0.000 0.000
0.500 0.000 0.500
0.500 0.500 0.000



[2]
ZrScPb2W, optimized geometry, DFT PBE; formation energy from the elements = 820 meV/atom; space group = No. 123; density of states at the Fermi level = 1.146 states/eV per atom; electronic total energy = -31.151 eV for the cell shown
1.0
5.376 0.000 0.000
0.000 5.035 0.000
0.000 0.000 5.376
Sc W Zr Pb
1 1 1 2
Direct
0.500 0.500 0.500
0.000 0.000 0.000
0.000 0.500 0.000
0.000 0.000 0.500
0.500 0.000 0.000



Q: Which of these has the highest density of states at the Fermi level?
A: ZrScPb2W